Density functional theory data (PBE) for an optimized crystal structure of Ac6CoPd2Br2.

E_tot = -4.929 eV per atom
total magnetic moment = 0.00 μB per formula unit
SG = C2/m, No. 12
formation energy from raw total energies = -0.7935 eV/atom

Cell: 7.669 7.669 8.291 Å, 98.95 98.95 120.72°
Element x y z (fractional)
Ac 0.076 0.387 0.203
Ac 0.254 0.254 0.796
Ac 0.387 0.076 0.203
Ac 0.613 0.924 0.797
Ac 0.746 0.746 0.204
Ac 0.924 0.613 0.797
Co 0.000 0.000 0.000
Pd 0.330 0.670 0.000
Pd 0.670 0.330 0.000
Br 0.169 0.831 0.500
Br 0.831 0.169 0.500